SmAlZn: optimized geometry, PBEsol.

POSCAR file:
```
SmAlZn
1.0
5.1946 -2.2393 0.0000
5.1946 2.2393 0.0000
-4.9409 0.0000 5.3329
Sm Al Zn
2 2 2
direct
0.0383 0.0383 0.2927
0.9617 0.9617 0.7073
0.3352 0.3352 0.8891
0.6648 0.6648 0.1109
0.3373 0.3373 0.2860
0.6627 0.6627 0.7140
```

Final energy (eV/atom): -4.0333
Total magnetization (μB per cell): 0.000

=====

La3Tl: optimized geometry, PBEsol.

POSCAR file:
```
La3Tl
1.0
3.5975 0.0000 0.0000
0.0000 5.7454 0.0000
-0.7161 0.0000 6.0163
La Tl
3 1
direct
0.0000 0.0000 0.0000
0.2938 0.5000 0.7300
0.7062 0.5000 0.2700
0.5000 0.0000 0.5000
```

Final energy (eV/atom): -4.8493
Total magnetization (μB per cell): 0.000
ΔE to the lowest computed polymorph (kJ/mol of atoms): 9.7

=====

TiTlCu2F: optimized geometry, PBEsol.

POSCAR file:
```
TiTlCu2F
1.0
4.7907 0.0000 0.0000
0.0000 4.7907 0.0000
0.0000 0.0000 4.5026
Ti Tl Cu F
1 1 2 1
direct
0.0000 0.0000 0.0000
0.5000 0.5000 0.5000
0.0000 0.5000 0.5000
0.5000 0.0000 0.5000
0.5000 0.5000 0.0000
```

Final energy (eV/atom): -3.7404
Total magnetization (μB per cell): 2.205

=====

SrPAu2: optimized geometry, PBEsol.

POSCAR file:
```
SrPAu2
1.0
-2.5006 2.5006 3.2358
2.5006 -2.5006 3.2358
2.5006 2.5006 -3.2358
Sr P Au
1 1 2
direct
0.0000 0.0000 0.0000
0.7500 0.2500 0.5000
0.2500 0.7500 0.5000
0.5000 0.5000 0.0000
```

Final energy (eV/atom): -4.0923
Total magnetization (μB per cell): 0.000

=====

LiIn: optimized geometry, PBEsol.

POSCAR file:
```
LiIn
1.0
3.1367 0.0000 0.0000
0.0000 4.9225 0.0000
0.0000 0.0000 5.2733
Li In
2 2
direct
0.2500 0.2500 0.0984
0.7500 0.7500 0.9016
0.2500 0.7500 0.3774
0.7500 0.2500 0.6226
```

Final energy (eV/atom): -2.7024
Total magnetization (μB per cell): 0.000

=====

ReNi2Se: optimized geometry, PBEsol.

POSCAR file:
```
ReNi2Se
1.0
4.2660 0.0000 0.0000
0.0000 2.8385 0.0000
-1.2256 0.0000 4.2404
Re Ni Se
1 2 1
direct
0.0000 0.0000 0.0000
0.0000 0.5000 0.5000
0.5000 0.0000 0.5000
0.5000 0.5000 0.0000
```

Final energy (eV/atom): -6.9946
Total magnetization (μB per cell): 0.000

=====

RhWCl2: optimized geometry, PBEsol.

POSCAR file:
```
RhWCl2
1.0
1.4637 0.8451 7.9450
-1.4637 0.8451 7.9450
0.0000 -1.6901 7.9450
Rh W Cl
1 1 2
direct
0.0000 0.0000 0.0000
0.5000 0.5000 0.5000
0.2442 0.2442 0.2442
0.7558 0.7558 0.7558
```

Final energy (eV/atom): -6.1127
Total magnetization (μB per cell): 0.000
ΔE to the lowest computed polymorph (kJ/mol of atoms): 50.3

=====

LiY2S: optimized geometry, PBEsol.

POSCAR file:
```
LiY2S
1.0
-3.9451 3.9451 3.2616
3.9451 -3.9451 3.2616
3.9451 3.9451 -3.2616
Li Y S
2 4 2
direct
0.0000 0.0000 0.0000
0.7500 0.2500 0.5000
0.1832 0.1250 0.5582
0.3750 0.8168 0.9418
0.5668 0.6250 0.4418
0.8750 0.4332 0.0582
0.2500 0.7500 0.5000
0.5000 0.5000 0.0000
```

Final energy (eV/atom): -5.5621
Total magnetization (μB per cell): 0.000

=====

Sc2TeOs: optimized geometry, PBEsol.

POSCAR file:
```
Sc2TeOs
1.0
4.6572 0.0000 0.0000
0.0000 4.6572 0.0000
0.0000 0.0000 3.4789
Sc Te Os
2 1 1
direct
0.0000 0.5000 0.0000
0.5000 0.0000 0.0000
0.0000 0.0000 0.5000
0.5000 0.5000 0.5000
```

Final energy (eV/atom): -7.6655
Total magnetization (μB per cell): 0.000

=====

Cd2SbBr: optimized geometry, PBEsol.

POSCAR file:
```
Cd2SbBr
1.0
3.1863 0.0000 0.0000
0.0000 5.2431 0.0000
0.0000 0.0000 5.8105
Cd Sb Br
2 1 1
direct
0.0000 0.0000 0.0000
0.5000 0.5000 0.0000
0.0000 0.5000 0.5000
0.5000 0.0000 0.5000
```

Final energy (eV/atom): -2.1452
Total magnetization (μB per cell): 0.000
ΔE to the lowest computed polymorph (kJ/mol of atoms): 29.4

=====

BaV2O6: optimized geometry, PBEsol.

POSCAR file:
```
BaV2O6
1.0
4.2231 -6.3140 0.0000
4.2231 6.3140 0.0000
0.0000 0.0000 7.9134
Ba V O
3 6 18
direct
0.0000 0.0000 0.0000
0.1633 0.8367 0.5000
0.8367 0.1633 0.5000
0.0000 0.5000 0.9362
0.2499 0.3963 0.2612
0.3963 0.2499 0.7388
0.5000 0.0000 0.0638
0.6037 0.7501 0.7388
0.7501 0.6037 0.2612
0.1332 0.6817 0.8183
0.1424 0.4077 0.0617
0.1631 0.1671 0.6990
0.1671 0.1631 0.3010
0.1692 0.4907 0.4139
0.3183 0.8668 0.1817
0.4077 0.1424 0.9383
0.4907 0.1692 0.5861
0.5000 0.5000 0.2498
0.5000 0.5000 0.7502
0.5093 0.8308 0.5861
0.5923 0.8576 0.9383
0.6817 0.1332 0.1817
0.8308 0.5093 0.4139
0.8329 0.8369 0.3010
0.8369 0.8329 0.6990
0.8576 0.5923 0.0617
0.8668 0.3183 0.8183
```

Final energy (eV/atom): -8.4828
Total magnetization (μB per cell): 0.066

=====

Li4SnSe4: optimized geometry, PBEsol.

POSCAR file:
```
Li4SnSe4
1.0
14.9385 0.0000 0.0000
0.0000 8.2260 0.0000
0.0000 0.0000 6.5444
Li Sn Se
16 4 16
direct
0.0000 0.0000 0.0000
0.0000 0.5000 0.0000
0.0866 0.2500 0.3798
0.1758 0.5035 0.8179
0.1758 0.9965 0.8179
0.3242 0.0035 0.3179
0.3242 0.4965 0.3179
0.4134 0.7500 0.8798
0.5000 0.0000 0.5000
0.5000 0.5000 0.5000
0.5866 0.2500 0.1202
0.6758 0.5035 0.6821
0.6758 0.9965 0.6821
0.8242 0.0035 0.1821
0.8242 0.4965 0.1821
0.9134 0.7500 0.6202
0.0927 0.7500 0.3582
0.4073 0.2500 0.8582
0.5927 0.7500 0.1418
0.9073 0.2500 0.6418
0.0685 0.2500 0.7756
0.0805 0.7500 0.7449
0.1615 0.0058 0.2150
0.1615 0.4942 0.2150
0.3385 0.5058 0.7150
0.3385 0.9942 0.7150
0.4195 0.2500 0.2449
0.4315 0.7500 0.2756
0.5685 0.2500 0.7244
0.5805 0.7500 0.7551
0.6615 0.0058 0.2850
0.6615 0.4942 0.2850
0.8385 0.5058 0.7850
0.8385 0.9942 0.7850
0.9195 0.2500 0.2551
0.9315 0.7500 0.2244
```

Final energy (eV/atom): -4.0159
Total magnetization (μB per cell): 0.000

=====

KYCl2: optimized geometry, PBEsol.

POSCAR file:
```
KYCl2
1.0
5.1798 0.0000 0.0000
0.0000 5.1798 0.0000
0.0000 0.0000 3.3623
K Y Cl
1 1 2
direct
0.0000 0.0000 0.0000
0.5000 0.5000 0.0000
0.0000 0.5000 0.5000
0.5000 0.0000 0.5000
```

Final energy (eV/atom): -4.1779
Total magnetization (μB per cell): 0.891

=====

Al2AgIr: optimized geometry, PBEsol.

POSCAR file:
```
Al2AgIr
1.0
2.9476 0.0000 0.0000
0.0000 2.9476 0.0000
0.0000 0.0000 6.7342
Al Ag Ir
2 1 1
direct
0.0000 0.0000 0.2283
0.0000 0.0000 0.7717
0.5000 0.5000 0.5000
0.5000 0.5000 0.0000
```

Final energy (eV/atom): -5.8175
Total magnetization (μB per cell): 0.000

=====

AlMoIr2: optimized geometry, PBEsol.

POSCAR file:
```
AlMoIr2
1.0
2.7772 0.0000 0.0000
0.0000 4.4141 0.0000
-0.0748 0.0000 4.6700
Al Mo Ir
1 1 2
direct
0.0000 0.0000 0.0000
0.0204 0.5000 0.6255
0.5010 0.5000 0.1046
0.5245 0.0000 0.4755
```

Final energy (eV/atom): -9.2838
Total magnetization (μB per cell): 0.000
ΔE to the lowest computed polymorph (kJ/mol of atoms): 21.3

=====

LuMg2Ti3S8: optimized geometry, PBEsol.

POSCAR file:
```
LuMg2Ti3S8
1.0
3.5760 2.0646 6.2380
-3.5760 2.0646 6.2380
0.0000 -4.1292 6.2380
Lu Mg Ti S
1 2 3 8
direct
0.0000 0.0000 0.0000
0.3690 0.3690 0.3690
0.6310 0.6310 0.6310
0.0000 0.0000 0.5000
0.0000 0.5000 0.0000
0.5000 0.0000 0.0000
0.2269 0.7483 0.7483
0.2399 0.2399 0.2399
0.2517 0.2517 0.7731
0.2517 0.7731 0.2517
0.7483 0.2269 0.7483
0.7483 0.7483 0.2269
0.7601 0.7601 0.7601
0.7731 0.2517 0.2517
```

Final energy (eV/atom): -6.3672
Total magnetization (μB per cell): 0.001

=====

CaSi2Mo: optimized geometry, PBEsol.

POSCAR file:
```
CaSi2Mo
1.0
4.2026 0.0000 0.0000
0.0000 4.2026 0.0000
0.0000 0.0000 3.7415
Ca Si Mo
1 2 1
direct
0.0000 0.0000 0.0000
0.0000 0.5000 0.5000
0.5000 0.0000 0.5000
0.5000 0.5000 0.0000
```

Final energy (eV/atom): -6.1048
Total magnetization (μB per cell): 0.000
ΔE to the lowest computed polymorph (kJ/mol of atoms): 14.0

=====

MnAgSb2: optimized geometry, PBEsol.

POSCAR file:
```
MnAgSb2
1.0
3.0360 0.0000 0.0000
0.0000 3.6107 0.0000
0.0000 0.0000 7.3027
Mn Ag Sb
1 1 2
direct
0.0000 0.0000 0.0000
0.0000 0.0000 0.5000
0.5000 0.5000 0.2236
0.5000 0.5000 0.7764
```

Final energy (eV/atom): -5.3058
Total magnetization (μB per cell): 3.011

=====

KSrCa2Cd: optimized geometry, PBEsol.

POSCAR file:
```
KSrCa2Cd
1.0
6.7506 0.0000 0.0000
0.0000 6.7506 0.0000
0.0000 0.0000 5.9688
K Sr Ca Cd
1 1 2 1
direct
0.0000 0.0000 0.0000
0.5000 0.5000 0.5000
0.0000 0.5000 0.5000
0.5000 0.0000 0.5000
0.5000 0.5000 0.0000
```

Final energy (eV/atom): -1.0956
Total magnetization (μB per cell): 0.927

=====

Zr2Pd2Au: optimized geometry, PBEsol.

POSCAR file:
```
Zr2Pd2Au
1.0
7.3213 0.0000 0.0000
0.0000 7.3213 0.0000
0.0000 0.0000 3.3575
Zr Pd Au
4 4 2
direct
0.1747 0.3253 0.0000
0.3253 0.8253 0.0000
0.6747 0.1747 0.0000
0.8253 0.6747 0.0000
0.1282 0.6282 0.5000
0.3718 0.1282 0.5000
0.6282 0.8718 0.5000
0.8718 0.3718 0.5000
0.0000 0.0000 0.5000
0.5000 0.5000 0.5000
```

Final energy (eV/atom): -7.4645
Total magnetization (μB per cell): 0.000

=====

Cs2AlO: optimized geometry, PBEsol.

POSCAR file:
```
Cs2AlO
1.0
0.0000 3.8944 3.8944
3.8944 0.0000 3.8944
3.8944 3.8944 0.0000
Cs Al O
2 1 1
direct
0.2500 0.2500 0.2500
0.7500 0.7500 0.7500
0.0000 0.0000 0.0000
0.5000 0.5000 0.5000
```

Final energy (eV/atom): -2.5745
Total magnetization (μB per cell): 0.001

=====

AlGaP2O8: optimized geometry, PBEsol.

POSCAR file:
```
AlGaP2O8
1.0
3.5585 -3.5464 0.0000
3.5585 3.5464 0.0000
-0.0696 0.0000 6.9910
Al Ga P O
1 1 2 8
direct
0.0000 0.0000 0.0000
0.6126 0.3874 0.5000
0.1161 0.5001 0.7494
0.4999 0.8839 0.2506
0.0349 0.3241 0.9174
0.0615 0.7906 0.8052
0.2094 0.9385 0.1948
0.4160 0.4645 0.7111
0.5355 0.5840 0.2889
0.5716 0.0365 0.4358
0.6759 0.9651 0.0826
0.9635 0.4284 0.5642
```

Final energy (eV/atom): -7.4710
Total magnetization (μB per cell): 0.001

=====

ZrCu: optimized geometry, PBEsol.

POSCAR file:
```
ZrCu
1.0
5.2554 -1.5907 0.0000
5.2554 1.5907 0.0000
-1.8222 0.0000 4.0004
Zr Cu
2 2
direct
0.1142 0.1142 0.3629
0.8858 0.8858 0.6371
0.3473 0.3473 0.0994
0.6527 0.6527 0.9006
```

Final energy (eV/atom): -6.7745
Total magnetization (μB per cell): 0.000

=====

Dy4Te3S4: optimized geometry, PBEsol.

POSCAR file:
```
Dy4Te3S4
1.0
3.3195 -6.8277 0.0000
3.3195 6.8277 0.0000
-1.5146 0.0000 6.4429
Dy Te S
4 3 4
direct
0.0770 0.3981 0.2430
0.3981 0.0770 0.2430
0.6019 0.9230 0.7570
0.9230 0.6019 0.7570
0.1348 0.1348 0.8640
0.5000 0.5000 0.5000
0.8652 0.8652 0.1360
0.2178 0.7822 0.5000
0.2899 0.7101 0.0000
0.7101 0.2899 0.0000
0.7822 0.2178 0.5000
```

Final energy (eV/atom): -6.0890
Total magnetization (μB per cell): 0.000

=====

SrScAu: optimized geometry, PBEsol.

POSCAR file:
```
SrScAu
1.0
0.0000 3.3853 3.3853
3.3853 0.0000 3.3853
3.3853 3.3853 0.0000
Sr Sc Au
1 1 1
direct
0.0000 0.0000 0.0000
0.7500 0.7500 0.7500
0.5000 0.5000 0.5000
```

Final energy (eV/atom): -3.9753
Total magnetization (μB per cell): 0.001